DFT (PBE+U) results for a relaxed Sr2WO crystal.

```
Sr2WO
1.0
-3.709 3.709 4.606
3.709 -3.709 4.606
3.709 3.709 -4.606
Sr W O
4 2 2
Cartesian
5.563 0.972 -1.152 Sr
0.972 1.854 1.152 Sr
-1.854 2.737 3.455 Sr
2.737 1.854 5.758 Sr
3.709 0.000 2.303 W
0.000 0.000 4.606 W
0.000 0.000 0.000 O
0.000 3.709 2.303 O
```

Calculated values
**Fermi-level density of states**: 3.5 states/eV per cell
**Calculated volume**: 31.678 Å³ per atom
**Electronic total energy**: -4.390 eV per atom